HfCrCuS4 after structural relaxation. Source: Alexandria via LeMat-Bulk, functional PBE-GGA.

The structure in extended XYZ format:
```
28
Lattice="-5.6936 -2.6338 3.0457 3.9497 -1.0289 6.4937 -2.6661 9.3520 3.1034" Properties=species:S:1:pos:R:3 pbc="T T T"
S 1.1469 6.9088 8.5314
S -5.5568 -1.2196 4.1114
Hf -3.7006 8.5004 4.4248
S 1.3608 -0.2081 6.3556
S -5.2104 2.4820 4.3813
Hf -3.9607 2.1809 6.4571
Cu -1.1322 7.1083 8.0223
S 0.8004 3.2073 8.2616
S -2.4358 8.1464 6.4830
Cu -2.2759 4.7072 3.8079
S -1.4054 5.7281 9.8967
S -4.0876 0.0396 7.9468
S -1.2230 2.4424 3.8176
S -3.1870 3.2468 8.8253
Cu -2.1341 0.9820 8.8349
S -2.8746 4.4689 6.0613
Hf -0.4493 3.5083 6.1858
Cr 0.0641 0.7573 4.7664
Cu -3.2778 -1.4191 4.6206
Cr -2.2768 3.6373 10.8644
Hf -0.7094 -2.8112 8.2180
S -0.3224 5.6496 4.6960
S -3.0046 -0.0389 2.7461
Cr -4.4740 4.9320 7.8765
Cr -2.1332 2.0520 1.7784
S -1.9742 -2.4572 6.1598
S -1.5354 1.2203 6.5815
S -5.7708 5.8973 6.2872
```

Results
formation energy without anion corrections = -629 meV/atom
relative energy among the computed polymorphs = 374 meV per atom

DyErPd2 after structural relaxation. Source: Alexandria via LeMat-Bulk, functional PBE-GGA.

The structure in extended XYZ format:
```
4
Lattice="3.4225 0.0000 0.0000 0.0000 4.9858 0.0000 0.0000 0.0000 4.9858" Properties=species:S:1:pos:R:3 pbc="T T T"
Pd 0.0000 2.4929 0.0000
Er 1.7113 0.0000 0.0000
Pd 0.0000 0.0000 2.4929
Dy 1.7113 2.4929 2.4929
```

Results
DFT formation energy = -3.627 eV per formula unit
relative energy among the computed polymorphs = 24 meV per atom

RbTe2Pb2 after structural relaxation. Source: Alexandria via LeMat-Bulk, functional PBE-GGA.

The structure in extended XYZ format:
```
5
Lattice="-5.8422 -0.2345 -1.4344 -1.3369 -1.4642 5.6844 -4.1139 4.5154 3.3835" Properties=species:S:1:pos:R:3 pbc="T T T"
Te -6.7728 1.7158 2.0370
Pb -3.7466 0.7580 2.5020
Rb 0.0000 0.0000 0.0000
Pb -7.5463 2.0587 5.1314
Te -4.5202 1.1010 5.5964
```

Results
formation energy without anion corrections = -481 meV/atom
relative energy among the computed polymorphs = 0 meV per atom

Cu2PO after structural relaxation. Source: Alexandria via LeMat-Bulk, functional PBE-GGA.

The structure in extended XYZ format:
```
8
Lattice="-5.0699 -1.1129 -0.6038 -0.0215 -2.4159 4.6336 -3.5211 1.7011 3.8172" Properties=species:S:1:pos:R:3 pbc="T T T"
Cu -1.7386 -1.2701 3.7497
Cu -3.8405 -0.5259 1.1813
P -5.5684 -0.5881 2.6141
O -3.0442 -1.2396 5.2328
P 0.0000 0.0000 0.0000
Cu -4.5510 -0.1481 4.5670
O -2.5457 -1.7644 2.0149
Cu -7.0949 -1.7113 6.1960
```

Results
formation energy without anion corrections = -143 meV/atom
relative energy among the computed polymorphs = 0 meV per atom

MgNbS2 after structural relaxation. Source: Alexandria via LeMat-Bulk, functional PBE-GGA.

The structure in extended XYZ format:
```
8
Lattice="5.7931 0.0000 0.0000 0.0000 5.7931 0.0000 2.8965 2.8965 5.4180" Properties=species:S:1:pos:R:3 pbc="T T T"
S 7.2413 7.2402 4.0635
Mg 2.8965 2.8965 0.0000
Nb 0.0000 0.0000 0.0000
S 4.3437 1.4483 1.3545
S 4.3448 4.3459 4.0635
S 1.4494 4.3448 1.3545
Nb 5.7931 2.8965 2.7090
Mg 2.8965 5.7931 2.7090
```

Results
formation energy without anion corrections = -617 meV/atom

LaSe2Br after structural relaxation. Source: Alexandria via LeMat-Bulk, functional PBE-GGA.

The structure in extended XYZ format:
```
4
Lattice="-3.1431 -2.0384 -4.8209 -0.2098 -6.0016 -1.1007 -0.8574 3.7876 4.7111" Properties=species:S:1:pos:R:3 pbc="T T T"
Se -1.3718 -3.1170 0.3248
Br -1.6764 -4.0200 -2.9608
Se 0.0000 0.0000 0.0000
La -2.8385 -1.1354 -1.5353
```

Results
formation energy without anion corrections = -1015 meV/atom
relative energy among the computed polymorphs = 391 meV per atom

LaCuReBr2 after structural relaxation. Source: Alexandria via LeMat-Bulk, functional PBE-GGA.

The structure in extended XYZ format:
```
5
Lattice="4.8445 0.0000 0.0000 0.0000 5.8586 0.0000 0.0000 0.0000 4.8445" Properties=species:S:1:pos:R:3 pbc="T T T"
Br 2.4223 0.0000 0.0000
La 0.0000 2.9293 0.0000
Cu 0.0000 0.0000 0.0000
Br 0.0000 0.0000 2.4223
Re 2.4223 2.9293 2.4223
```

Results
formation energy without anion corrections = 770 meV/atom

Nb5OsRu4 after structural relaxation. Source: Alexandria via LeMat-Bulk, functional PBE-GGA.

The structure in extended XYZ format:
```
10
Lattice="-1.4878 -2.5377 -0.8912 1.5925 -0.0104 -2.6290 12.0994 -9.6806 7.3671" Properties=species:S:1:pos:R:3 pbc="T T T"
Os 0.0000 0.0000 0.0000
Ru 9.7664 -7.8140 5.9466
Ru 7.1834 -5.7474 4.3738
Ru 4.9160 -3.9333 2.9933
Nb 1.2615 -2.2415 -1.0238
Nb 8.5247 -8.0527 3.3986
Nb 10.9425 -9.9872 4.8708
Nb 3.6794 -4.1760 0.4484
Ru 2.3330 -1.8666 1.4205
Nb 6.1020 -6.1144 1.9235
```

Results
DFT formation energy = -1.719 eV per formula unit

Here are the calculated total DFT energy (no corrections) numbers, same order: -6.370, -5.794, -3.414, -4.783, -5.596, -4.407, -4.193, -10.040 (eV per atom).
Here are the calculated total magnetic moment numbers, same order: 2.99, 0.00, 0.00, 0.00, 1.95, 0.00, 3.29, 0.00 (μB/f.u.).